Density functional theory data (meta-GGA SCAN) for a crystal of Be2AlMo relaxed with PBEsol.

Computed properties:
As for the symmetry: P4/mmm, No. 123. The value obtained for the calculated formation energy is -0.1821 eV per atom.

a b c (Å): 3.650 3.650 3.457
angles (deg): 90.00 90.00 90.00
Positions (direct):
1 Be 0.000 0.500 0.000
2 Be 0.500 0.000 0.000
3 Al 0.000 0.000 0.500
4 Mo 0.500 0.500 0.500